i | {"formula": "Li4Bi2O5", "functional": "SCAN", "state": "single point on PBEsol structure", "cell": [[-2.557, -0.827, 3.676], [-6.080, -3.745, -5.073], [6.130, -12.055, 1.552]], "species": ["O", "Li", "Li", "Li", "Li", "Li", "Bi", "O", "O", "O", "O", "O", "O", "Li", "Li", "Li", "Li", "Li", "Li", "Li", "Bi", "O", "O", "Bi", "O", "O", "Li", "O", "Bi", "O", "Li", "O", "Bi", "Li", "O", "O", "O", "Li", "Bi", "O", "O", "Bi", "O", "Bi"], "fractional_positions": [[0.000, 0.140, 0.750], [0.443, 0.138, 0.509], [0.500, 0.885, 0.250], [0.557, 0.138, 0.991], [0.250, 0.250, 0.873], [0.000, 0.615, 0.250], [0.968, 0.958, 0.872], [0.504, 0.352, 0.970], [0.980, 0.503, 0.118], [0.520, 0.003, 0.618], [0.500, 0.360, 0.750], [0.996, 0.852, 0.470], [0.980, 0.497, 0.618], [0.557, 0.862, 0.491], [0.443, 0.862, 0.009], [0.750, 0.750, 0.127], [0.057, 0.638, 0.009], [0.000, 0.385, 0.750], [0.943, 0.638, 0.491], [0.500, 0.115, 0.750], [0.032, 0.958, 0.628], [0.004, 0.852, 0.030], [0.496, 0.648, 0.030], [0.468, 0.542, 0.628], [0.020, 0.497, 0.882], [0.504, 0.648, 0.470], [0.057, 0.362, 0.509], [0.020, 0.503, 0.382], [0.532, 0.458, 0.372], [0.480, 0.003, 0.882], [0.250, 0.750, 0.373], [0.004, 0.148, 0.530], [0.532, 0.542, 0.872], [0.750, 0.250, 0.627], [0.496, 0.352, 0.530], [0.520, 0.997, 0.118], [0.500, 0.640, 0.250], [0.943, 0.362, 0.991], [0.968, 0.042, 0.372], [0.000, 0.860, 0.250], [0.480, 0.997, 0.382], [0.468, 0.458, 0.128], [0.996, 0.148, 0.970], [0.032, 0.042, 0.128]], "sg": "No. 52", "dos_ef_per_ev_cell": 0.00}

ii | {"formula": "Li4Bi2O5", "functional": "SCAN", "state": "single point on PBEsol structure", "cell": [[5.494, 0.025, -0.028], [2.410, 7.125, -0.056], [2.601, -0.782, 7.187]], "species": ["O", "Li", "O", "Li", "Li", "O", "Li", "O", "O", "Li", "O", "O", "Bi", "O", "Bi", "Li", "Li", "Bi", "Li", "O", "O", "Bi"], "fractional_positions": [[0.037, 0.107, 0.135], [0.123, 0.670, 0.670], [0.029, 0.510, 0.186], [0.842, 0.003, 0.651], [0.877, 0.330, 0.330], [0.966, 0.213, 0.537], [0.270, 0.254, 0.589], [0.436, 0.113, 0.758], [0.971, 0.490, 0.814], [0.730, 0.746, 0.411], [0.963, 0.893, 0.865], [0.564, 0.887, 0.242], [0.668, 0.414, 0.752], [0.515, 0.657, 0.623], [0.651, 0.115, 0.117], [0.868, 0.681, 0.030], [0.132, 0.319, 0.970], [0.349, 0.885, 0.883], [0.158, 0.997, 0.349], [0.034, 0.787, 0.463], [0.485, 0.343, 0.377], [0.332, 0.586, 0.248]], "sg": "No. 2", "dos_ef_per_ev_cell": 0.00}

Tell me which of them is the most stable. Sure, it is ii.

i | {"formula": "Li3Bi3P4O16", "functional": "SCAN", "state": "single point on PBEsol structure", "cell": [[-2.118, 1.397, -4.685], [-8.200, 0.517, 3.861], [2.985, 14.222, 2.893]], "species": ["Bi", "Bi", "O", "O", "O", "Bi", "P", "Li", "O", "O", "O", "O", "P", "P", "O", "O", "P", "O", "P", "O", "O", "O", "O", "O", "O", "O", "O", "Li", "O", "P", "Li", "O", "O", "O", "O", "O", "O", "Bi", "P", "O", "Bi", "O", "O", "O", "Li", "Li", "Li", "Bi", "O", "P", "O", "O"], "fractional_positions": [[0.465, 0.232, 0.132], [0.965, 0.268, 0.368], [0.828, 0.345, 0.230], [0.232, 0.439, 0.153], [0.280, 0.050, 0.419], [0.000, 0.000, 0.000], [0.466, 0.127, 0.361], [0.947, 0.175, 0.786], [0.034, 0.211, 0.098], [0.591, 0.224, 0.809], [0.131, 0.479, 0.583], [0.768, 0.561, 0.847], [0.028, 0.662, 0.392], [0.528, 0.838, 0.108], [0.268, 0.939, 0.653], [0.328, 0.155, 0.270], [0.034, 0.627, 0.861], [0.302, 0.606, 0.375], [0.534, 0.873, 0.639], [0.466, 0.711, 0.598], [0.631, 0.021, 0.917], [0.780, 0.450, 0.081], [0.698, 0.394, 0.625], [0.369, 0.979, 0.083], [0.732, 0.061, 0.347], [0.524, 0.730, 0.025], [0.802, 0.894, 0.125], [0.553, 0.675, 0.286], [0.869, 0.521, 0.417], [0.972, 0.338, 0.608], [0.000, 0.000, 0.500], [0.966, 0.789, 0.902], [0.476, 0.270, 0.975], [0.024, 0.770, 0.475], [0.672, 0.845, 0.730], [0.091, 0.276, 0.691], [0.909, 0.724, 0.309], [0.035, 0.732, 0.632], [0.966, 0.373, 0.139], [0.976, 0.230, 0.525], [0.535, 0.768, 0.868], [0.172, 0.655, 0.770], [0.409, 0.776, 0.191], [0.220, 0.550, 0.919], [0.500, 0.500, 0.000], [0.447, 0.325, 0.714], [0.053, 0.825, 0.214], [0.500, 0.500, 0.500], [0.720, 0.950, 0.581], [0.472, 0.162, 0.892], [0.198, 0.106, 0.875], [0.534, 0.289, 0.402]], "sg": "No. 14", "dos_ef_per_ev_cell": 0.00}

ii | {"formula": "Li3Bi3P4O16", "functional": "SCAN", "state": "single point on PBEsol structure", "cell": [[6.511, 0.000, 0.000], [-3.256, 8.871, -0.132], [0.000, -0.617, 10.793]], "species": ["P", "O", "O", "O", "Li", "Li", "Li", "O", "O", "O", "O", "O", "O", "O", "P", "P", "P", "O", "O", "Bi", "Bi", "Li", "O", "O", "P", "O", "O", "Bi", "O", "Bi", "O", "O", "O", "O", "O", "O", "Bi", "P", "Li", "Li", "Bi", "O", "O", "P", "O", "O", "O", "O", "P", "O", "O", "O"], "fractional_positions": [[0.135, 0.386, 0.265], [0.628, 0.727, 0.209], [0.347, 0.874, 0.137], [0.653, 0.126, 0.863], [0.594, 0.308, 0.269], [0.500, 0.500, 0.500], [0.286, 0.692, 0.231], [0.553, 0.171, 0.596], [0.901, 0.273, 0.291], [0.008, 0.288, 0.729], [0.155, 0.490, 0.159], [0.618, 0.171, 0.096], [0.527, 0.874, 0.637], [0.736, 0.750, 0.507], [0.865, 0.614, 0.735], [0.242, 0.872, 0.008], [0.251, 0.386, 0.765], [0.716, 0.515, 0.109], [0.221, 0.024, 0.973], [0.661, 0.714, 0.978], [0.948, 0.286, 0.522], [0.714, 0.308, 0.769], [0.201, 0.485, 0.391], [0.986, 0.250, 0.993], [0.631, 0.872, 0.508], [0.779, 0.976, 0.027], [0.099, 0.727, 0.709], [0.339, 0.286, 0.022], [0.279, 0.288, 0.229], [0.052, 0.714, 0.478], [0.665, 0.510, 0.341], [0.799, 0.515, 0.609], [0.447, 0.829, 0.404], [0.197, 0.976, 0.527], [0.372, 0.273, 0.791], [0.473, 0.126, 0.363], [0.656, 0.000, 0.250], [0.369, 0.128, 0.492], [0.000, 0.500, 0.000], [0.406, 0.692, 0.731], [0.344, 0.000, 0.750], [0.382, 0.829, 0.904], [0.803, 0.024, 0.473], [0.749, 0.614, 0.235], [0.721, 0.712, 0.771], [0.992, 0.712, 0.271], [0.284, 0.485, 0.891], [0.845, 0.510, 0.841], [0.758, 0.128, 0.992], [0.335, 0.490, 0.659], [0.014, 0.750, 0.007], [0.264, 0.250, 0.493]], "sg": "No. 15", "dos_ef_per_ev_cell": 0.00}

Tell me which of them is the most stable. Sure, it is ii.

i | {"formula": "Li3Bi2P3O12", "functional": "SCAN", "state": "single point on PBEsol structure", "cell": [[8.541, -0.140, 0.103], [3.772, 7.800, 0.181], [-3.772, -2.193, 7.488]], "species": ["O", "O", "Li", "P", "O", "O", "P", "O", "O", "Li", "Bi", "O", "Li", "P", "O", "P", "O", "O", "P", "O", "O", "Bi", "O", "Bi", "O", "Bi", "O", "O", "Li", "O", "O", "O", "Li", "O", "O", "O", "Li", "O", "O", "P"], "fractional_positions": [[0.691, 0.416, 0.546], [0.452, 0.647, 0.131], [0.094, 0.326, 0.649], [0.250, 0.425, 0.425], [0.309, 0.584, 0.454], [0.051, 0.933, 0.792], [0.057, 0.893, 0.260], [0.048, 0.131, 0.647], [0.251, 0.899, 0.386], [0.906, 0.674, 0.351], [0.183, 0.661, 0.873], [0.249, 0.386, 0.899], [0.406, 0.649, 0.326], [0.443, 0.260, 0.893], [0.423, 0.099, 0.729], [0.750, 0.575, 0.575], [0.191, 0.454, 0.584], [0.913, 0.582, 0.747], [0.943, 0.107, 0.740], [0.449, 0.792, 0.933], [0.809, 0.546, 0.416], [0.817, 0.339, 0.127], [0.923, 0.271, 0.901], [0.317, 0.873, 0.661], [0.587, 0.747, 0.582], [0.683, 0.127, 0.339], [0.949, 0.067, 0.208], [0.551, 0.208, 0.067], [0.000, 0.500, 0.000], [0.413, 0.253, 0.418], [0.087, 0.418, 0.253], [0.548, 0.353, 0.869], [0.500, 0.000, 0.500], [0.749, 0.101, 0.614], [0.077, 0.729, 0.099], [0.577, 0.901, 0.271], [0.594, 0.351, 0.674], [0.952, 0.869, 0.353], [0.751, 0.614, 0.101], [0.557, 0.740, 0.107]], "sg": "No. 15", "dos_ef_per_ev_cell": 0.00}

ii | {"formula": "Li3Bi2P3O12", "functional": "SCAN", "state": "single point on PBEsol structure", "cell": [[-4.659, -5.022, -5.518], [1.819, -8.573, -0.744], [-6.268, -6.181, 3.907]], "species": ["Bi", "Li", "Li", "O", "O", "P", "O", "P", "Li", "O", "O", "P", "Li", "O", "O", "O", "O", "Li", "O", "O", "O", "Bi", "P", "O", "O", "O", "Bi", "Bi", "O", "O", "O", "O", "P", "O", "Li", "O", "P", "O", "O", "O"], "fractional_positions": [[0.152, 0.152, 0.543], [0.937, 0.665, 0.136], [0.335, 0.737, 0.864], [0.501, 0.147, 0.818], [0.399, 0.883, 0.917], [0.432, 0.053, 0.767], [0.800, 0.399, 0.917], [0.568, 0.947, 0.233], [0.665, 0.263, 0.136], [0.817, 0.160, 0.271], [0.883, 0.800, 0.917], [0.748, 0.432, 0.767], [0.063, 0.335, 0.864], [0.601, 0.117, 0.083], [0.499, 0.853, 0.182], [0.183, 0.840, 0.729], [0.853, 0.466, 0.182], [0.737, 0.063, 0.864], [0.248, 0.183, 0.729], [0.840, 0.248, 0.729], [0.534, 0.501, 0.818], [0.658, 0.658, 0.025], [0.947, 0.252, 0.233], [0.577, 0.984, 0.622], [0.016, 0.183, 0.378], [0.117, 0.200, 0.083], [0.342, 0.342, 0.975], [0.848, 0.848, 0.457], [0.200, 0.601, 0.083], [0.147, 0.534, 0.818], [0.817, 0.577, 0.622], [0.423, 0.016, 0.378], [0.053, 0.748, 0.767], [0.984, 0.817, 0.622], [0.263, 0.937, 0.136], [0.183, 0.423, 0.378], [0.252, 0.568, 0.233], [0.466, 0.499, 0.182], [0.160, 0.752, 0.271], [0.752, 0.817, 0.271]], "sg": "No. 148", "dos_ef_per_ev_cell": 0.00}

Tell me which of them is the most stable. Sure, it is ii.

i | {"formula": "LiSi3BiO8", "functional": "SCAN", "state": "single point on PBEsol structure", "cell": [[-4.345, 5.222, 3.491], [4.305, -4.217, 4.692], [9.620, 8.449, -2.883]], "species": ["Si", "Si", "O", "O", "O", "O", "Li", "Si", "Si", "O", "O", "Si", "O", "O", "Bi", "O", "O", "O", "Li", "Si", "Bi", "Si", "O", "O", "O", "O", "Si", "O", "O", "O", "O", "Si", "Bi", "O", "O", "O", "O", "O", "O", "O", "Bi", "O", "O", "Si", "O", "O", "O", "Li", "Li", "Si", "Si", "O"], "fractional_positions": [[0.048, 0.288, 0.397], [0.315, 0.396, 0.611], [0.145, 0.368, 0.519], [0.618, 0.478, 0.099], [0.210, 0.391, 0.715], [0.995, 0.594, 0.127], [0.615, 0.963, 0.313], [0.358, 0.178, 0.333], [0.712, 0.952, 0.103], [0.391, 0.210, 0.215], [0.818, 0.183, 0.394], [0.396, 0.315, 0.111], [0.609, 0.790, 0.785], [0.182, 0.817, 0.606], [0.312, 0.737, 0.455], [0.594, 0.995, 0.627], [0.860, 0.861, 0.147], [0.632, 0.855, 0.981], [0.963, 0.615, 0.813], [0.288, 0.048, 0.897], [0.737, 0.312, 0.955], [0.685, 0.604, 0.389], [0.817, 0.182, 0.106], [0.406, 0.005, 0.373], [0.587, 0.753, 0.396], [0.855, 0.632, 0.481], [0.952, 0.712, 0.603], [0.133, 0.482, 0.337], [0.753, 0.587, 0.896], [0.790, 0.609, 0.285], [0.861, 0.860, 0.647], [0.178, 0.358, 0.833], [0.688, 0.263, 0.545], [0.478, 0.618, 0.599], [0.247, 0.413, 0.104], [0.139, 0.140, 0.353], [0.183, 0.818, 0.894], [0.867, 0.518, 0.663], [0.005, 0.406, 0.873], [0.482, 0.133, 0.837], [0.263, 0.688, 0.045], [0.518, 0.867, 0.163], [0.368, 0.145, 0.019], [0.822, 0.642, 0.167], [0.413, 0.247, 0.604], [0.382, 0.522, 0.901], [0.140, 0.139, 0.853], [0.037, 0.385, 0.187], [0.385, 0.037, 0.687], [0.642, 0.822, 0.667], [0.604, 0.685, 0.889], [0.522, 0.382, 0.401]], "sg": "No. 15", "dos_ef_per_ev_cell": 0.00}

ii | {"formula": "LiSi3BiO8", "functional": "SCAN", "state": "single point on PBEsol structure", "cell": [[-3.259, 5.880, -2.208], [-5.814, -4.484, 0.358], [2.953, 1.601, 6.949]], "species": ["O", "Bi", "O", "O", "O", "O", "Si", "O", "Bi", "Si", "O", "O", "O", "Si", "Si", "Li", "Si", "Si", "O", "O", "O", "O", "O", "O", "O", "Li"], "fractional_positions": [[0.848, 0.338, 0.139], [0.115, 0.278, 0.362], [0.381, 0.073, 0.334], [0.666, 0.756, 0.942], [0.745, 0.056, 0.323], [0.729, 0.336, 0.682], [0.381, 0.784, 0.554], [0.692, 0.662, 0.249], [0.845, 0.735, 0.746], [0.628, 0.212, 0.444], [0.161, 0.279, 0.658], [0.019, 0.894, 0.244], [0.315, 0.579, 0.583], [0.652, 0.411, 0.168], [0.214, 0.144, 0.783], [0.811, 0.197, 0.843], [0.219, 0.833, 0.195], [0.768, 0.833, 0.182], [0.295, 0.695, 0.304], [0.436, 0.293, 0.973], [0.170, 0.733, 0.958], [0.626, 0.900, 0.654], [0.623, 0.392, 0.365], [0.041, 0.075, 0.866], [0.248, 0.932, 0.638], [0.336, 0.577, 0.831]], "sg": "No. 1", "dos_ef_per_ev_cell": 0.00}

Tell me which of them is the most stable. Sure, it is i.